This record from the Alexandria database describes a relaxed Tb3PrCu2 crystal. The functional is PBE-GGA.

Values from the calculation:
- DFT formation energy: -0.88 eV/f.u.
- E_tot: -4.62 eV per atom
- Density: 8.13 g/cm3

Cell: 3.5175 3.5175 12.2883 Å, 90.00 90.00 90.00°
Space group P4/mmm (No. 123)
Inequivalent atoms, fractional coordinates:
Tb  0.0000  0.0000  0.0000 [1 per cell]
Tb  0.0000  0.0000  0.2778 [2 per cell]
Pr  0.5000  0.5000  0.5000 [1 per cell]
Cu  0.5000  0.5000  0.1424 [2 per cell]

=====

This record from the Alexandria database describes a relaxed Ac6Pd3Au crystal. The functional is PBE-GGA.

Values from the calculation:
- DFT formation energy: -6.07 eV/f.u.
- E_tot: -4.96 eV per atom
- Density: 8.83 g/cm3

Cell: 12.7728 4.3982 13.6109 Å, 90.00 112.49 90.00°
Space group P2_1/m (No. 11)
Inequivalent atoms, fractional coordinates:
Ac  0.0550  0.2500  0.3993 [2 per cell]
Ac  0.0932  0.7500  0.9353 [2 per cell]
Ac  0.2460  0.2500  0.7714 [2 per cell]
Ac  0.2467  0.7500  0.2585 [2 per cell]
Ac  0.3995  0.2500  0.5626 [2 per cell]
Ac  0.4396  0.2500  0.1090 [2 per cell]
Pd  0.0070  0.2500  0.7730 [2 per cell]
Pd  0.3372  0.7500  0.9434 [2 per cell]
Pd  0.4220  0.2500  0.3403 [2 per cell]
Au  0.2016  0.7500  0.5769 [2 per cell]

=====

This record from the Alexandria database describes a relaxed Ca3Al2 crystal. The functional is PBE-GGA.

Values from the calculation:
- DFT formation energy: -0.43 eV/f.u.
- E_tot: -2.78 eV per atom
- Density: 1.91 g/cm3

Cell: 13.1108 23.7900 3.8844 Å, 90.00 90.00 90.00°
Space group Fdd2 (No. 43)
Inequivalent atoms, fractional coordinates:
Ca  0.0000  0.0000  0.0000 [8 per cell]
Ca  0.0922  0.3559  0.7679 [16 per cell]
Al  0.0506  0.2214  0.7805 [16 per cell]

=====

This record from the Alexandria database describes a relaxed Nd3HoRu crystal. The functional is PBE-GGA.

Values from the calculation:
- DFT formation energy: -0.59 eV/f.u.
- E_tot: -5.75 eV per atom
- Density: 7.36 g/cm3

Cell: 9.4981 7.5578 8.7811 Å, 90.00 90.00 90.00°
Space group Ima2 (No. 46)
Inequivalent atoms, fractional coordinates:
Nd  0.0400  0.2479  0.0000 [8 per cell]
Nd  0.2500  0.5187  0.7525 [4 per cell]
Ho  0.2500  0.5287  0.2474 [4 per cell]
Ru  0.2500  0.7441  0.5000 [4 per cell]

=====

This record from the Alexandria database describes a relaxed PaAlPt crystal. The functional is PBE-GGA.

Values from the calculation:
- DFT formation energy: -2.53 eV/f.u.
- E_tot: -7.27 eV per atom
- Density: 12.67 g/cm3

Cell: 4.4961 4.4961 3.3919 Å, 90.00 90.00 120.00°
Space group P-6m2 (No. 187)
Inequivalent atoms, fractional coordinates:
Pa  0.0000  0.0000  0.0000 [1 per cell]
Al  0.3333  0.6667  0.5000 [1 per cell]
Pt  0.6667  0.3333  0.5000 [1 per cell]

=====

This record from the Alexandria database describes a relaxed Ce4SnIr crystal. The functional is PBE-GGA.

Values from the calculation:
- DFT formation energy: -2.92 eV/f.u.
- E_tot: -6.59 eV per atom
- Density: 9.06 g/cm3

Cell: 5.6928 6.6509 8.6336 Å, 90.00 102.33 90.00°
Space group P2_1/m (No. 11)
Inequivalent atoms, fractional coordinates:
Ce  0.1582  0.2500  0.0479 [2 per cell]
Ce  0.2088  0.7500  0.3742 [2 per cell]
Ce  0.3366  0.5351  0.7591 [4 per cell]
Sn  0.2259  0.2500  0.4242 [2 per cell]
Ir  0.3186  0.7500  0.0746 [2 per cell]

=====

This record from the Alexandria database describes a relaxed ErFe6Ge6 crystal. The functional is PBE-GGA.

Values from the calculation:
- DFT formation energy: -3.67 eV/f.u.
- E_tot: -6.67 eV per atom
- Density: 8.49 g/cm3

Cell: 5.1073 8.1392 8.8275 Å, 90.00 90.00 90.00°
Space group Immm (No. 71)
Inequivalent atoms, fractional coordinates:
Er  0.0000  0.0000  0.0000 [2 per cell]
Fe  0.0000  0.2486  0.5000 [4 per cell]
Fe  0.2500  0.2500  0.2500 [8 per cell]
Ge  0.0000  0.0000  0.3364 [4 per cell]
Ge  0.0000  0.3465  0.0000 [4 per cell]
Ge  0.0000  0.5000  0.3314 [4 per cell]

=====

This record from the Alexandria database describes a relaxed MgPaSb crystal. The functional is PBE-GGA.

Values from the calculation:
- E_tot: -5.09 eV per atom
- Density: 8.29 g/cm3
- Raw formation energy: -0.02 eV/atom

Cell: 3.7475 3.7475 10.7611 Å, 90.00 90.00 90.00°
Space group I4mm (No. 107)
Inequivalent atoms, fractional coordinates:
Mg  0.0000  0.0000  0.0000 [2 per cell]
Pa  0.0000  0.0000  0.6897 [2 per cell]
Sb  0.0000  0.0000  0.3585 [2 per cell]

=====

This record from the Alexandria database describes a relaxed MgVAg crystal. The functional is PBE-GGA.

Values from the calculation:
- DFT formation energy: 1.21 eV/f.u.
- E_tot: -4.12 eV per atom
- Density: 5.55 g/cm3

Cell: 4.6950 8.0913 5.7669 Å, 90.00 90.00 90.00°
Space group Cmcm (No. 63)
Inequivalent atoms, fractional coordinates:
Mg  0.0000  0.0000  0.0000 [4 per cell]
V  0.0000  0.3334  0.2500 [4 per cell]
Ag  0.0000  0.3329  0.7500 [4 per cell]

=====

This record from the Alexandria database describes a relaxed Th5BiAs4 crystal. The functional is PBE-GGA.

Values from the calculation:
- DFT formation energy: -12.12 eV/f.u.
- E_tot: -7.17 eV per atom
- Density: 9.72 g/cm3

Cell: 14.3566 4.3058 10.6143 Å, 90.00 119.66 90.00°
Space group C2/m (No. 12)
Inequivalent atoms, fractional coordinates:
Th  0.0000  0.0000  0.0000 [2 per cell]
Th  0.1108  0.5000  0.3897 [4 per cell]
Th  0.2070  0.0000  0.8157 [4 per cell]
Bi  0.0000  0.0000  0.5000 [2 per cell]
As  0.0945  0.5000  0.8948 [4 per cell]
As  0.2053  0.0000  0.2952 [4 per cell]

=====

This record from the Alexandria database describes a relaxed Sm3Si2BRu3 crystal. The functional is PBE-GGA.

Values from the calculation:
- E_tot: -7.03 eV per atom
- Density: 8.43 g/cm3
- Raw formation energy: -0.42 eV/atom

Cell: 7.1622 7.1622 3.6411 Å, 90.00 90.00 120.00°
Space group P-62m (No. 189)
Inequivalent atoms, fractional coordinates:
Sm  0.0000  0.3794  0.0000 [3 per cell]
Si  0.3333  0.6667  0.5000 [2 per cell]
B  0.0000  0.0000  0.0000 [1 per cell]
Ru  0.0000  0.7735  0.5000 [3 per cell]

=====

This record from the Alexandria database describes a relaxed Tb4PmSm2Tm crystal. The functional is PBE-GGA.

Values from the calculation:
- DFT formation energy: 3.35 eV/f.u.
- E_tot: -4.23 eV per atom
- Density: 7.75 g/cm3

Cell: 6.8274 11.8214 13.2851 Å, 90.00 90.00 90.00°
Space group Imma (No. 74)
Inequivalent atoms, fractional coordinates:
Tb  0.0000  0.0039  0.2501 [8 per cell]
Tb  0.2503  0.2500  0.0046 [8 per cell]
Pm  0.0000  0.0000  0.0000 [4 per cell]
Sm  0.0000  0.0000  0.5000 [4 per cell]
Sm  0.2500  0.2500  0.7500 [4 per cell]
Tm  0.2500  0.2500  0.2500 [4 per cell]